This record from the Alexandria database describes a relaxed Rb2AcCo2O6 crystal. The functional is GGA+U.

Unit cell a=6.322 b=6.322 c=7.237 alpha=64.10 beta=64.10 gamma=60.00
Site moments in Bohr magnetons follow the coordinates.
Fractional coordinates of all 11 atoms:
O1 0.741 0.266 0.253  0.41
Co1 0.431 0.431 0.707  2.95
Co2 0.569 0.569 0.293  2.95
Ac1 0.000 0.000 0.000  0.11
O2 0.266 0.741 0.253  0.41
O3 0.259 0.734 0.747  0.41
Rb1 0.786 0.786 0.641  0.00
Rb2 0.214 0.214 0.359  0.00
O4 0.734 0.259 0.747  0.41
O5 0.259 0.259 0.747  0.41
O6 0.741 0.741 0.253  0.41

- uncorrected energy (Ha/atom) = -0.2119